Entry 1:
A relaxed structure of TbSm5ErTm2. Source: Alexandria via LeMat-Bulk, functional PBE-GGA.

The structure in POSCAR format:
```
TbSm5ErTm2
1.0
2.800 -10.067 0.000
2.800 10.067 0.000
0.000 0.000 10.636
Tb Sm Er Tm
2 10 2 4
Direct
0.199 0.801 0.500 Tb
0.801 0.199 0.000 Tb
0.017 0.983 0.510 Sm
0.281 0.719 0.800 Sm
0.299 0.701 0.196 Sm
0.388 0.612 0.512 Sm
0.481 0.519 0.231 Sm
0.519 0.481 0.731 Sm
0.612 0.388 0.012 Sm
0.701 0.299 0.696 Sm
0.719 0.281 0.300 Sm
0.983 0.017 0.010 Sm
0.410 0.590 0.949 Er
0.590 0.410 0.449 Er
0.111 0.889 0.229 Tm
0.114 0.886 0.802 Tm
0.886 0.114 0.302 Tm
0.889 0.111 0.729 Tm
```

**DFT total energy**: -40.38 eV per formula unit
**Total magnetization**: 0.0 μB per cell
**SG**: Cmc2_1

***

Entry 2:
A relaxed structure of Tb2Sm6Er3Tm. Source: Alexandria via LeMat-Bulk, functional PBE-GGA.

The structure in POSCAR format:
```
Tb2Sm6Er3Tm
1.0
3.100 -5.367 0.000
3.100 5.367 0.000
-2.059 0.000 11.598
Tb Sm Er Tm
2 6 3 1
Direct
0.167 0.833 0.000 Tb
0.833 0.167 0.000 Tb
0.083 0.416 0.749 Sm
0.251 0.251 0.251 Sm
0.416 0.083 0.749 Sm
0.584 0.917 0.251 Sm
0.749 0.749 0.749 Sm
0.917 0.584 0.251 Sm
0.000 0.000 0.500 Er
0.333 0.667 0.500 Er
0.667 0.333 0.500 Er
0.500 0.500 0.000 Tm
```

**DFT total energy**: -55.56 eV per formula unit
**Total magnetization**: 0.0 μB per cell
**SG**: C2/m

***

Entry 3:
A relaxed structure of Tb5SmEr2Tm. Source: Alexandria via LeMat-Bulk, functional PBE-GGA.

The structure in POSCAR format:
```
Tb5SmEr2Tm
1.0
2.788 -9.954 0.000
2.788 9.954 0.000
0.000 0.000 10.574
Tb Sm Er Tm
10 2 4 2
Direct
0.017 0.983 0.500 Tb
0.281 0.719 0.783 Tb
0.300 0.700 0.183 Tb
0.392 0.608 0.500 Tb
0.479 0.521 0.215 Tb
0.521 0.479 0.715 Tb
0.608 0.392 0.000 Tb
0.700 0.300 0.683 Tb
0.719 0.281 0.283 Tb
0.983 0.017 0.000 Tb
0.200 0.800 0.487 Sm
0.800 0.200 0.987 Sm
0.109 0.891 0.214 Er
0.114 0.886 0.793 Er
0.886 0.114 0.293 Er
0.891 0.109 0.714 Er
0.412 0.588 0.933 Tm
0.588 0.412 0.433 Tm
```

**DFT total energy**: -40.09 eV per formula unit
**Total magnetization**: 0.0 μB per cell
**SG**: Cmc2_1

***

- DFT total energy of number 3 (Tb5SmEr2Tm)?
  -40.09 eV per formula unit

***

Please write out number 2 again, unchanged.
A relaxed structure of Tb2Sm6Er3Tm. Source: Alexandria via LeMat-Bulk, functional PBE-GGA.

The structure in POSCAR format:
```
Tb2Sm6Er3Tm
1.0
3.100 -5.367 0.000
3.100 5.367 0.000
-2.059 0.000 11.598
Tb Sm Er Tm
2 6 3 1
Direct
0.167 0.833 0.000 Tb
0.833 0.167 0.000 Tb
0.083 0.416 0.749 Sm
0.251 0.251 0.251 Sm
0.416 0.083 0.749 Sm
0.584 0.917 0.251 Sm
0.749 0.749 0.749 Sm
0.917 0.584 0.251 Sm
0.000 0.000 0.500 Er
0.333 0.667 0.500 Er
0.667 0.333 0.500 Er
0.500 0.500 0.000 Tm
```

**DFT total energy**: -55.56 eV per formula unit
**Total magnetization**: 0.0 μB per cell
**SG**: C2/m

***

- What is the formula in the first record?
  TbSm5ErTm2

***

Please write out number 1 again, unchanged.
A relaxed structure of TbSm5ErTm2. Source: Alexandria via LeMat-Bulk, functional PBE-GGA.

The structure in POSCAR format:
```
TbSm5ErTm2
1.0
2.800 -10.067 0.000
2.800 10.067 0.000
0.000 0.000 10.636
Tb Sm Er Tm
2 10 2 4
Direct
0.199 0.801 0.500 Tb
0.801 0.199 0.000 Tb
0.017 0.983 0.510 Sm
0.281 0.719 0.800 Sm
0.299 0.701 0.196 Sm
0.388 0.612 0.512 Sm
0.481 0.519 0.231 Sm
0.519 0.481 0.731 Sm
0.612 0.388 0.012 Sm
0.701 0.299 0.696 Sm
0.719 0.281 0.300 Sm
0.983 0.017 0.010 Sm
0.410 0.590 0.949 Er
0.590 0.410 0.449 Er
0.111 0.889 0.229 Tm
0.114 0.886 0.802 Tm
0.886 0.114 0.302 Tm
0.889 0.111 0.729 Tm
```

**DFT total energy**: -40.38 eV per formula unit
**Total magnetization**: 0.0 μB per cell
**SG**: Cmc2_1